(A)
A plane-wave DFT calculation with PBE-GGA was carried out for TcMoIr4 after structural relaxation.

Results
- total magnetization (μB/cell) = 0.00
- calculated volume (Å³/cell) = 208.7
- SG = C2/m, No. 12

Unit cell a=5.599 b=6.652 c=5.604 alpha=90.00 beta=90.81 gamma=90.00
Positions (direct):
Tc1 0.000 0.000 0.000
Tc2 0.500 0.500 0.000
Mo1 0.000 0.500 0.500
Mo2 0.500 0.000 0.500
Ir1 0.250 0.248 0.751
Ir2 0.250 0.252 0.249
Ir3 0.250 0.748 0.249
Ir4 0.250 0.752 0.751
Ir5 0.750 0.248 0.249
Ir6 0.750 0.252 0.751
Ir7 0.750 0.748 0.751
Ir8 0.750 0.752 0.249


(B)
A plane-wave DFT calculation with PBE-GGA was carried out for TcMoIr4 after structural relaxation.

Results
- total magnetization (μB/cell) = 0.00
- calculated volume (Å³/cell) = 93.8
- SG = F-43m, No. 216

Unit cell a=5.101 b=5.101 c=5.101 alpha=60.00 beta=60.00 gamma=60.00
Positions (direct):
Tc1 0.000 0.000 0.000
Mo1 0.250 0.250 0.250
Ir1 0.124 0.625 0.625
Ir2 0.625 0.124 0.625
Ir3 0.625 0.625 0.124
Ir4 0.625 0.625 0.625


(C)
A plane-wave DFT calculation with PBE-GGA was carried out for TcMoIr4 after structural relaxation.

Results
- total magnetization (μB/cell) = 0.00
- calculated volume (Å³/cell) = 178.6
- SG = Cmcm, No. 63

Unit cell a=6.538 b=6.538 c=4.272 alpha=90.00 beta=90.00 gamma=101.99
Positions (direct):
Tc1 0.071 0.929 0.750
Tc2 0.929 0.071 0.250
Mo1 0.333 0.667 0.750
Mo2 0.667 0.333 0.250
Ir1 0.004 0.664 0.250
Ir2 0.257 0.399 0.250
Ir3 0.336 0.996 0.250
Ir4 0.399 0.257 0.750
Ir5 0.601 0.743 0.250
Ir6 0.664 0.004 0.750
Ir7 0.743 0.601 0.750
Ir8 0.996 0.336 0.750


Most stable structure, least stable structure: (C), (B).


(A)
A plane-wave DFT calculation with PBE-GGA was carried out for Tc2MoIr2 after structural relaxation.

Results
- total magnetization (μB/cell) = 0.00
- calculated volume (Å³/cell) = 172.0
- SG = Fddd, No. 70

Unit cell a=9.772 b=9.119 c=4.804 alpha=82.96 beta=67.84 gamma=29.20
Positions (direct):
Tc1 0.002 0.002 0.248
Tc2 0.248 0.248 0.002
Tc3 0.752 0.752 0.998
Tc4 0.998 0.998 0.752
Mo1 0.375 0.375 0.375
Mo2 0.625 0.625 0.625
Ir1 0.045 0.705 0.045
Ir2 0.295 0.955 0.295
Ir3 0.705 0.045 0.705
Ir4 0.955 0.295 0.955


(B)
A plane-wave DFT calculation with PBE-GGA was carried out for Tc2MoIr2 after structural relaxation.

Results
- total magnetization (μB/cell) = 0.00
- calculated volume (Å³/cell) = 161.4
- SG = I4/mmm, No. 139

Unit cell a=3.540 b=3.540 c=12.879 alpha=90.00 beta=90.00 gamma=90.00
Positions (direct):
Tc1 0.000 0.500 0.250
Tc2 0.000 0.500 0.750
Tc3 0.500 0.000 0.250
Tc4 0.500 0.000 0.750
Mo1 0.000 0.000 0.000
Mo2 0.500 0.500 0.500
Ir1 0.000 0.000 0.404
Ir2 0.000 0.000 0.596
Ir3 0.500 0.500 0.096
Ir4 0.500 0.500 0.904


Most stable structure, least stable structure: (B), (A).


(A)
A plane-wave DFT calculation with PBE-GGA was carried out for Tc2MoIr2 after structural relaxation.

Results
- total magnetization (μB/cell) = 0.00
- calculated volume (Å³/cell) = 154.1
- SG = P4/mbm, No. 127

Unit cell a=7.482 b=7.482 c=2.753 alpha=90.00 beta=90.00 gamma=90.00
Positions (direct):
Tc1 0.173 0.327 0.000
Tc2 0.327 0.827 0.000
Tc3 0.673 0.173 0.000
Tc4 0.827 0.673 0.000
Mo1 0.000 0.000 0.500
Mo2 0.500 0.500 0.500
Ir1 0.124 0.624 0.500
Ir2 0.376 0.124 0.500
Ir3 0.624 0.876 0.500
Ir4 0.876 0.376 0.500


(B)
A plane-wave DFT calculation with PBE-GGA was carried out for Tc2MoIr2 after structural relaxation.

Results
- total magnetization (μB/cell) = 0.00
- calculated volume (Å³/cell) = 154.0
- SG = P4/mbm, No. 127

Unit cell a=7.510 b=7.510 c=2.731 alpha=90.00 beta=90.00 gamma=90.00
Positions (direct):
Tc1 0.122 0.378 0.000
Tc2 0.378 0.878 0.000
Tc3 0.622 0.122 0.000
Tc4 0.878 0.622 0.000
Mo1 0.000 0.000 0.000
Mo2 0.500 0.500 0.000
Ir1 0.172 0.672 0.500
Ir2 0.328 0.172 0.500
Ir3 0.672 0.828 0.500
Ir4 0.828 0.328 0.500


Most stable structure, least stable structure: (A), (B).